## HfIr3Pb2O12 (PBE)

Data for an optimized crystal structure of HfIr3Pb2O12.

Structure (extended XYZ):
```
18
Lattice="3.648 2.106 6.176 -3.648 2.106 6.176 0.000 -4.212 6.176" Properties=species:S:1:pos:R:3 pbc="T T T"
Hf 0.000 0.000 0.000
Ir -3.648 0.000 9.264
Ir -1.824 1.053 3.088
Ir 1.824 1.053 3.088
Pb 0.000 0.000 5.578
Pb 0.000 0.000 12.949
O -2.270 -1.310 8.757
O 0.000 -2.508 4.996
O -2.172 1.254 4.996
O 0.000 -2.621 9.771
O -2.270 1.310 9.771
O -2.172 -1.254 13.532
O 2.172 1.254 4.996
O 2.270 -1.310 8.757
O 0.000 2.621 8.757
O 2.172 -1.254 13.532
O 0.000 2.508 13.532
O 2.270 1.310 9.771
```

As for the crystal system: trigonal. For the total moment, the calculation gives 4.98 μB/cell. The space group is No. 166. The calculation puts the calculated volume at 15.8 Å³/atom. For the raw total energy, the calculation gives -6.911 eV per atom. The calculation puts the uncorrected formation energy at -20.95 eV per formula unit.

## RbGeP (PBE)

Data for an optimized crystal structure of RbGeP.

Structure (extended XYZ):
```
3
Lattice="1.907 1.101 6.595 -1.907 1.101 6.595 0.000 -2.202 6.595" Properties=species:S:1:pos:R:3 pbc="T T T"
Rb 0.000 0.000 0.000
Ge 0.000 0.000 3.758
P 0.000 0.000 9.206
```

As for the crystal system: trigonal. For the total moment, the calculation gives 0.00 μB/cell. The space group is No. 160. For the formation energy from the elements, the calculation gives -229 meV/atom. The calculation puts the calculated volume at 27.7 Å³/atom. For the raw total energy, the calculation gives -3.894 eV per atom.

## Cr2In2Ge (PBE)

Data for an optimized crystal structure of Cr2In2Ge.

Structure (extended XYZ):
```
10
Lattice="8.168 0.000 0.000 0.000 8.168 0.000 0.000 0.000 2.839" Properties=species:S:1:pos:R:3 pbc="T T T"
Cr 0.702 3.382 0.000
Cr 3.382 7.466 0.000
Cr 4.786 0.702 0.000
Cr 7.466 4.786 0.000
In 1.610 5.694 1.419
In 2.474 1.610 1.419
In 5.694 6.558 1.419
In 6.558 2.474 1.419
Ge 0.000 0.000 1.419
Ge 4.084 4.084 1.419
```

As for the crystal system: tetragonal. For the total moment, the calculation gives 0.69 μB/cell. The space group is No. 127. Its energy relative to the lowest polymorph listed for this composition is 365 meV per atom. For the formation energy from the elements, the calculation gives 592 meV/atom. The calculation puts the calculated volume at 18.9 Å³/atom. For the raw total energy, the calculation gives -5.276 eV per atom.

## TlB6H6 (PBE)

Data for an optimized crystal structure of TlB6H6.

Structure (extended XYZ):
```
26
Lattice="0.000 5.386 5.386 5.386 0.000 5.386 5.386 5.386 0.000" Properties=species:S:1:pos:R:3 pbc="T T T"
Tl 2.693 2.693 2.693
Tl 8.079 8.079 8.079
B 6.270 5.386 1.442
B 5.386 1.442 4.501
B 9.330 4.501 5.386
B 4.501 5.386 1.442
B 9.330 6.270 5.386
B 5.386 1.442 6.270
B 5.386 9.330 4.501
B 1.442 4.501 5.386
B 6.270 5.386 9.330
B 1.442 6.270 5.386
B 5.386 9.330 6.270
B 4.501 5.386 9.330
H 6.891 5.386 2.477
H 5.386 2.477 3.881
H 8.295 3.881 5.386
H 3.881 5.386 2.477
H 8.295 6.891 5.386
H 5.386 2.477 6.891
H 5.386 8.295 3.881
H 2.477 3.881 5.386
H 6.891 5.386 8.295
H 2.477 6.891 5.386
H 5.386 8.295 6.891
H 3.881 5.386 8.295
```

As for the crystal system: cubic. For the total moment, the calculation gives 0.00 μB/cell. The space group is No. 202. The calculation puts the calculated volume at 12.0 Å³/atom. For the raw total energy, the calculation gives -5.053 eV per atom.

## AgBiTeN2 (PBE)

Data for an optimized crystal structure of AgBiTeN2.

Structure (extended XYZ):
```
5
Lattice="4.399 0.000 0.000 0.000 4.399 0.000 0.000 0.000 5.628" Properties=species:S:1:pos:R:3 pbc="T T T"
Ag 0.000 0.000 0.000
Bi 2.200 2.200 2.814
Te 0.000 0.000 2.814
N 0.000 2.200 0.000
N 2.200 0.000 0.000
```

As for the crystal system: tetragonal. For the total moment, the calculation gives 2.88 μB/cell. The space group is No. 123. Its energy relative to the lowest polymorph listed for this composition is 156 meV per atom. The calculation puts the calculated volume at 21.8 Å³/atom. For the raw total energy, the calculation gives -3.638 eV per atom. The calculation puts the uncorrected formation energy at 8.33 eV per formula unit.

## InSnIrPd (PBE)

Data for an optimized crystal structure of InSnIrPd.

Structure (extended XYZ):
```
4
Lattice="0.000 3.297 3.297 3.297 0.000 3.297 3.297 3.297 0.000" Properties=species:S:1:pos:R:3 pbc="T T T"
In 0.000 0.000 0.000
Sn 3.297 3.297 3.297
Ir 4.945 4.945 4.945
Pd 1.648 1.648 1.648
```

As for the crystal system: cubic. For the total moment, the calculation gives 0.00 μB/cell. The space group is No. 216. For the formation energy from the elements, the calculation gives -211 meV/atom. The calculation puts the calculated volume at 17.9 Å³/atom. For the raw total energy, the calculation gives -5.410 eV per atom.

## Th2GaRh (PBE)

Data for an optimized crystal structure of Th2GaRh.

Structure (extended XYZ):
```
4
Lattice="3.529 0.000 0.000 0.000 3.529 0.000 0.000 0.000 7.705" Properties=species:S:1:pos:R:3 pbc="T T T"
Th 0.000 0.000 1.782
Th 0.000 0.000 5.923
Ga 1.765 1.765 3.852
Rh 1.765 1.765 0.000
```

As for the crystal system: tetragonal. For the total moment, the calculation gives 0.00 μB/cell. The space group is No. 123. Its energy relative to the lowest polymorph listed for this composition is 117 meV per atom. For the formation energy from the elements, the calculation gives -557 meV/atom. The calculation puts the calculated volume at 24.0 Å³/atom. For the raw total energy, the calculation gives -6.862 eV per atom.

## YTaZn2 (PBE)

Data for an optimized crystal structure of YTaZn2.

Structure (extended XYZ):
```
4
Lattice="-2.036 2.036 4.625 2.036 -2.036 4.625 2.036 2.036 -4.625" Properties=species:S:1:pos:R:3 pbc="T T T"
Y 0.000 0.000 0.000
Ta 0.000 2.036 2.312
Zn 2.036 0.000 2.312
Zn 0.000 0.000 4.625
```

As for the crystal system: tetragonal. For the total moment, the calculation gives 0.00 μB/cell. The space group is No. 119. Its energy relative to the lowest polymorph listed for this composition is 222 meV per atom. For the formation energy from the elements, the calculation gives 190 meV/atom. The calculation puts the calculated volume at 19.2 Å³/atom. For the raw total energy, the calculation gives -5.026 eV per atom.

## Hf8IrS2 (PBE)

Data for an optimized crystal structure of Hf8IrS2.

Structure (extended XYZ):
```
11
Lattice="5.875 -4.299 0.000 5.875 4.299 0.000 -0.139 0.000 4.946" Properties=species:S:1:pos:R:3 pbc="T T T"
Hf 0.976 0.000 1.239
Hf 4.740 2.153 1.197
Hf 3.307 0.000 4.034
Hf 6.870 2.153 3.748
Hf 4.740 -2.153 1.197
Hf 8.304 0.000 0.912
Hf 6.870 -2.153 3.748
Hf 10.635 0.000 3.707
Ir 5.875 0.000 0.000
S 3.451 0.000 1.619
S 8.160 0.000 3.327
```

As for the crystal system: monoclinic. For the total moment, the calculation gives 0.00 μB/cell. The space group is No. 12. The calculation puts the calculated volume at 22.7 Å³/atom. For the raw total energy, the calculation gives -8.993 eV per atom. The calculation puts the uncorrected formation energy at -2.18 eV per formula unit.

## SrIn3Sn (PBE)

Data for an optimized crystal structure of SrIn3Sn.

Structure (extended XYZ):
```
10
Lattice="6.990 0.000 0.000 0.000 6.989 0.000 -2.911 0.000 6.370" Properties=species:S:1:pos:R:3 pbc="T T T"
Sr 0.861 1.747 1.704
Sr 3.218 5.242 4.667
In -0.371 0.003 4.892
In -0.371 3.492 4.892
In 2.112 5.242 0.889
In 1.967 1.747 5.482
In 4.450 6.986 1.478
In 4.450 3.498 1.478
Sn -0.273 5.242 2.437
Sn 4.353 1.747 3.933
```

As for the crystal system: monoclinic. For the total moment, the calculation gives 0.00 μB/cell. The space group is No. 11. Its energy relative to the lowest polymorph listed for this composition is 0 meV per atom. For the formation energy from the elements, the calculation gives -247 meV/atom. The calculation puts the calculated volume at 31.1 Å³/atom. For the raw total energy, the calculation gives -3.027 eV per atom.

## CeScGe (PBE)

Data for an optimized crystal structure of CeScGe.

Structure (extended XYZ):
```
6
Lattice="-2.134 2.134 8.020 2.134 -2.134 8.020 2.134 2.134 -8.020" Properties=species:S:1:pos:R:3 pbc="T T T"
Ce 0.000 0.000 2.873
Ce 0.000 0.000 13.168
Sc 2.134 0.000 0.000
Sc 0.000 2.134 0.000
Ge 0.000 0.000 6.044
Ge 0.000 0.000 9.996
```

As for the crystal system: tetragonal. For the total moment, the calculation gives 3.60 μB/cell. The space group is No. 139. For the formation energy from the elements, the calculation gives -626 meV/atom. The calculation puts the calculated volume at 24.4 Å³/atom. For the raw total energy, the calculation gives -6.254 eV per atom.

## AcThSc2 (PBE)

Data for an optimized crystal structure of AcThSc2.

Structure (extended XYZ):
```
4
Lattice="0.000 3.942 3.942 3.942 0.000 3.942 3.942 3.942 0.000" Properties=species:S:1:pos:R:3 pbc="T T T"
Ac 0.000 0.000 0.000
Th 3.942 3.942 3.942
Sc 1.971 1.971 1.971
Sc 5.913 5.913 5.913
```

As for the crystal system: cubic. For the total moment, the calculation gives 0.00 μB/cell. The space group is No. 225. Its energy relative to the lowest polymorph listed for this composition is 25 meV per atom. For the formation energy from the elements, the calculation gives 94 meV/atom. The calculation puts the calculated volume at 30.6 Å³/atom. For the raw total energy, the calculation gives -5.954 eV per atom.

## PuCoRh (PBE)

Data for an optimized crystal structure of PuCoRh.

Structure (extended XYZ):
```
3
Lattice="4.092 0.000 0.000 -2.046 3.544 0.000 0.000 0.000 3.818" Properties=species:S:1:pos:R:3 pbc="T T T"
Pu 0.000 0.000 0.000
Co 0.000 2.363 1.909
Rh 2.046 1.181 1.909
```

As for the crystal system: hexagonal. For the total moment, the calculation gives 3.93 μB/cell. The space group is No. 187. Its energy relative to the lowest polymorph listed for this composition is 195 meV per atom. For the formation energy from the elements, the calculation gives -146 meV/atom. The calculation puts the calculated volume at 18.5 Å³/atom. For the raw total energy, the calculation gives -9.743 eV per atom.

## NaTmZnCl6 (PBE)

Data for an optimized crystal structure of NaTmZnCl6.

Structure (extended XYZ):
```
18
Lattice="6.570 0.000 0.000 -3.285 5.689 0.000 0.000 0.000 12.611" Properties=species:S:1:pos:R:3 pbc="T T T"
Na 0.000 0.000 0.000
Na 0.000 0.000 6.306
Tm 0.000 3.793 3.153
Tm 3.285 1.896 9.459
Zn 0.000 3.793 9.459
Zn 3.285 1.896 3.153
Cl -1.114 2.081 8.013
Cl -2.040 3.684 10.904
Cl 1.114 2.081 10.904
Cl -0.925 5.614 8.013
Cl 2.359 0.076 1.707
Cl 1.245 2.006 4.598
Cl 2.040 3.684 8.013
Cl 0.925 5.614 10.904
Cl 4.210 0.076 4.598
Cl 2.171 3.608 1.707
Cl 5.324 2.006 1.707
Cl 4.399 3.608 4.598
```

As for the crystal system: trigonal. For the total moment, the calculation gives 0.00 μB/cell. The space group is No. 163. The calculation puts the calculated volume at 26.2 Å³/atom. For the raw total energy, the calculation gives -3.787 eV per atom. The calculation puts the uncorrected formation energy at -15.94 eV per formula unit.

## Sr2CuHg (PBE)

Data for an optimized crystal structure of Sr2CuHg.

Structure (extended XYZ):
```
8
Lattice="6.384 0.000 0.000 0.000 4.699 0.000 -3.152 0.000 8.445" Properties=species:S:1:pos:R:3 pbc="T T T"
Sr -0.037 1.175 3.596
Sr 1.578 3.524 0.567
Sr 1.655 1.175 7.878
Sr 3.270 3.524 4.848
Cu -1.462 1.175 6.610
Cu 4.695 3.524 1.834
Hg 0.004 3.524 6.059
Hg 3.229 1.175 2.386
```

As for the crystal system: monoclinic. For the total moment, the calculation gives 0.00 μB/cell. The space group is No. 11. Its energy relative to the lowest polymorph listed for this composition is 2 meV per atom. For the formation energy from the elements, the calculation gives -278 meV/atom. The calculation puts the calculated volume at 31.7 Å³/atom. For the raw total energy, the calculation gives -2.219 eV per atom.

## BaSb2Br (PBE)

Data for an optimized crystal structure of BaSb2Br.

Structure (extended XYZ):
```
4
Lattice="6.897 -2.181 0.000 6.897 2.181 0.000 -0.994 0.000 4.775" Properties=species:S:1:pos:R:3 pbc="T T T"
Ba 0.000 0.000 0.000
Sb 2.693 0.000 3.866
Sb 10.107 0.000 0.909
Br 6.400 0.000 2.387
```

As for the crystal system: monoclinic. For the total moment, the calculation gives 0.00 μB/cell. The space group is No. 12. Its energy relative to the lowest polymorph listed for this composition is 0 meV per atom. The calculation puts the calculated volume at 35.9 Å³/atom. For the raw total energy, the calculation gives -3.879 eV per atom. The calculation puts the uncorrected formation energy at -3.68 eV per formula unit.

## Nd2Y5Ho6 (PBE)

Data for an optimized crystal structure of Nd2Y5Ho6.

Structure (extended XYZ):
```
26
Lattice="11.681 0.000 0.000 0.000 20.285 0.000 0.000 0.000 3.594" Properties=species:S:1:pos:R:3 pbc="T T T"
Nd 1.975 4.391 0.000
Nd 3.866 14.534 0.000
Nd 7.815 5.752 0.000
Nd 9.706 15.894 0.000
Y 0.000 10.143 1.797
Y 1.062 15.802 1.797
Y 2.327 1.082 1.797
Y 3.514 11.225 1.797
Y 4.779 5.659 1.797
Y 5.840 0.000 1.797
Y 6.902 14.626 1.797
Y 8.167 9.061 1.797
Y 9.354 19.203 1.797
Y 10.619 4.484 1.797
Ho 0.719 18.730 0.000
Ho 0.908 12.891 0.000
Ho 2.076 7.548 1.797
Ho 3.765 17.691 1.797
Ho 4.933 2.749 0.000
Ho 5.121 8.588 0.000
Ho 6.560 11.698 0.000
Ho 6.748 17.537 0.000
Ho 7.916 2.594 1.797
Ho 9.605 12.737 1.797
Ho 10.773 7.394 0.000
Ho 10.962 1.555 0.000
```

As for the crystal system: orthorhombic. For the total moment, the calculation gives 0.00 μB/cell. The space group is No. 55. For the formation energy from the elements, the calculation gives 102 meV/atom. The calculation puts the calculated volume at 32.8 Å³/atom. For the raw total energy, the calculation gives -5.231 eV per atom.

## MnCoB (PBE)

Data for an optimized crystal structure of MnCoB.

Structure (extended XYZ):
```
3
Lattice="-1.238 1.238 4.321 1.238 -1.238 4.321 1.238 1.238 -4.321" Properties=species:S:1:pos:R:3 pbc="T T T"
Mn 0.000 0.000 0.000
Co 0.000 0.000 6.144
B 0.000 0.000 2.966
```

As for the crystal system: tetragonal. For the total moment, the calculation gives 1.30 μB/cell. The space group is No. 107. For the formation energy from the elements, the calculation gives -131 meV/atom. The calculation puts the calculated volume at 8.8 Å³/atom. For the raw total energy, the calculation gives -7.782 eV per atom.

## GdDyMg4 (PBE)

Data for an optimized crystal structure of GdDyMg4.

Structure (extended XYZ):
```
6
Lattice="0.000 4.278 4.278 4.278 0.000 4.278 4.278 4.278 0.000" Properties=species:S:1:pos:R:3 pbc="T T T"
Gd 0.000 0.000 0.000
Dy 2.139 2.139 2.139
Mg 5.345 3.210 3.210
Mg 3.210 5.345 3.210
Mg 3.210 3.210 5.345
Mg 5.345 5.345 5.345
```

As for the crystal system: cubic. For the total moment, the calculation gives 7.75 μB/cell. The space group is No. 216. For the formation energy from the elements, the calculation gives -83 meV/atom. The calculation puts the calculated volume at 26.1 Å³/atom. For the raw total energy, the calculation gives -4.260 eV per atom.

## TaBeTe2 (PBE)

Data for an optimized crystal structure of TaBeTe2.

Structure (extended XYZ):
```
4
Lattice="1.922 -2.761 0.000 1.922 2.761 0.000 0.000 0.000 8.782" Properties=species:S:1:pos:R:3 pbc="T T T"
Ta 0.000 0.000 0.000
Be 1.922 0.000 1.557
Te 0.000 0.000 2.947
Te 1.922 0.000 6.739
```

As for the crystal system: orthorhombic. For the total moment, the calculation gives 0.00 μB/cell. The space group is No. 35. The calculation puts the calculated volume at 23.3 Å³/atom. For the raw total energy, the calculation gives -5.283 eV per atom. The calculation puts the uncorrected formation energy at 0.73 eV per formula unit.